Computed, not measured: a geometry-optimized NiAsP2Cl structure at the PBE level of DFT.

Cell: 4.513 4.513 4.403 Å, 90.00 90.00 90.00°
Space group P4/mmm (No. 123)
One atom of each set of equivalent atoms:
Ni (0.000, 0.000, 0.000) x1
As (0.500, 0.500, 0.500) x1
P (0.000, 0.500, 0.000) x2
Cl (0.000, 0.000, 0.500) x1

Total DFT energy (no corrections) in eV per atom: -4.062
Raw formation energy in eV/atom: 0.557
Density of states at the Fermi level in states/eV/f.u.: 4.575

---

Computed, not measured: a geometry-optimized Pu2AuF structure at the PBE level of DFT.

Cell: 4.1360 4.1360 18.6294 Å, 90.00 90.00 120.00°
Space group R-3m (No. 166, hexagonal axes)
One atom of each set of equivalent atoms:
Pu (0.0000, 0.0000, 0.2364) x6
Au (0.0000, 0.0000, 0.0000) x3
F (0.0000, 0.0000, 0.5000) x3

Total DFT energy (no corrections) in eV per atom: -9.538
Raw formation energy in eV/atom: -1.085
Density of states at the Fermi level in states/eV/f.u.: 19.316

---

Computed, not measured: a geometry-optimized La2GeS5 structure at the PBE level of DFT.

Cell: 11.672 8.704 8.663 Å, 90.00 108.41 90.00°
Space group P2_1/c (No. 14)
One atom of each set of equivalent atoms:
La (0.029, 0.127, 0.233) x4
La (0.372, 0.134, 0.050) x4
Ge (0.306, 0.587, 0.027) x4
S (0.109, 0.616, 0.000) x4
S (0.110, 0.118, 0.944) x4
S (0.292, 0.097, 0.334) x4
S (0.373, 0.701, 0.448) x4
S (0.421, 0.059, 0.734) x4

Total DFT energy (no corrections) in eV per atom: -5.883
Raw formation energy in eV/atom: -1.495
Density of states at the Fermi level in states/eV/f.u.: 0.000

---

Computed, not measured: a geometry-optimized Pa2BiW structure at the PBE level of DFT.

Cell: 3.813 3.813 6.673 Å, 90.00 90.00 90.00°
Space group P4/mmm (No. 123)
One atom of each set of equivalent atoms:
Pa (0.000, 0.000, 0.230) x2
Bi (0.500, 0.500, 0.500) x1
W (0.500, 0.500, 0.000) x1

ΔE_f in eV per atom: 0.224
Total DFT energy (no corrections) in eV per atom: -8.733
Density of states at the Fermi level in states/eV/f.u.: 6.537

---

Computed, not measured: a geometry-optimized Sm3Mg7Ga4 structure at the PBE level of DFT.

Cell: 16.825 4.496 10.497 Å, 90.00 126.44 90.00°
Space group C2/m (No. 12)
One atom of each set of equivalent atoms:
Sm (0.000, 0.000, 0.000) x2
Sm (0.199, 0.500, 0.713) x4
Mg (0.000, 0.000, 0.500) x2
Mg (0.011, 0.500, 0.304) x4
Mg (0.165, 0.000, 0.430) x4
Mg (0.175, 0.500, 0.014) x4
Ga (0.119, 0.000, 0.835) x4
Ga (0.153, 0.500, 0.250) x4

ΔE_f in eV per atom: -0.346
Total DFT energy (no corrections) in eV per atom: -3.019
Density of states at the Fermi level in states/eV/f.u.: 6.511

---

Computed, not measured: a geometry-optimized Ho4BiSe2S structure at the PBE level of DFT.

Cell: 8.247 8.265 11.684 Å, 90.00 90.00 90.00°
Space group Imma (No. 74)
One atom of each set of equivalent atoms:
Ho (0.000, 0.017, 0.242) x8
Ho (0.231, 0.250, 0.010) x8
Bi (0.000, 0.000, 0.500) x4
Se (0.000, 0.000, 0.000) x4
Se (0.250, 0.250, 0.750) x4
S (0.250, 0.250, 0.250) x4

Total DFT energy (no corrections) in eV per atom: -5.671
Raw formation energy in eV/atom: -1.510
Density of states at the Fermi level in states/eV/f.u.: 3.405